VASP calculation (PBE-GGA) on a relaxed structure of Dy3Tm3Tl2.

The energy relative to the lowest polymorph listed for this composition is 0.0837 eV/atom. The calculation puts the mass density at 9.746 g/cm³. The value obtained for the energy of formation from the pure elements is -0.086 eV/atom.

extended XYZ file:
```
16
Lattice="5.1445 0.0000 0.0000 -2.5723 5.9356 0.0000 0.0000 0.0000 15.6568" Properties=species:S:1:pos:R:3 pbc="T T T"
Dy 2.5723 1.6512 7.3549
Dy 0.0000 4.2844 15.1833
Dy 2.5723 1.6512 0.4735
Dy 0.0000 4.2844 8.3019
Dy 0.0000 5.4699 3.9142
Dy 2.5723 0.4657 11.7426
Tm 2.5723 5.4617 6.2090
Tm 0.0000 0.4740 14.0374
Tm 2.5723 5.4617 1.6194
Tm 0.0000 0.4740 9.4478
Tm 2.5723 2.9059 3.9142
Tm 0.0000 3.0297 11.7426
Tl 2.5723 3.2987 13.4571
Tl 0.0000 2.6369 5.6287
Tl 2.5723 3.2987 10.0281
Tl 0.0000 2.6369 2.1997
```